[1]
VASP calculation (PBE-GGA) on a relaxed SrDyMg2 crystal.

Energy of formation from the pure elements, eV per formula unit: -0.2
Distance to the lowest polymorph of the same formula, meV per atom: 0
SG: No. 123
Fermi-level density of states, states/eV/atom: 1.11
Total magnetic moment, μB per atom: 0.0624

Cell: 3.978 3.978 7.982 Å, 90.00 90.00 90.00°
Fractional positions:
1 Mg 0.000 0.000 0.784
2 Mg 0.000 0.000 0.216
3 Dy 0.500 0.500 0.000
4 Sr 0.500 0.500 0.500



[2]
VASP calculation (PBE-GGA) on a relaxed SrDyMg4 crystal.

Energy of formation from the pure elements, eV per formula unit: -0.3
SG: No. 216
Fermi-level density of states, states/eV/atom: 0.87
Total magnetic moment, μB per atom: 0.0000

Cell: 6.215 6.215 6.215 Å, 60.00 60.00 60.00°
Fractional positions:
1 Mg 0.626 0.626 0.626
2 Mg 0.122 0.626 0.626
3 Mg 0.626 0.122 0.626
4 Mg 0.626 0.626 0.122
5 Dy 0.000 0.000 0.000
6 Sr 0.250 0.250 0.250



Question: Among the records above, which one has the lowest energy of formation from the pure elements?
Answer: SrDyMg4